CsScSeS: relaxed, GGA-PBE.

Values from the calculation:
Space group = No. 160
Electronic total energy = -5.31 eV per atom
ΔE_f (raw) = -1.611 eV per atom
Magnetization = 0.000 μB/f.u.
Density = 4.29 g cm⁻³
V = 111.9 Å³ per cell

Cell and atoms, written as CIF:
```
data_CsScSeS
_cell_length_a 3.977
_cell_length_b 3.977
_cell_length_c 8.488
_cell_angle_alpha 90.00
_cell_angle_beta 103.55
_cell_angle_gamma 120.00
_space_group_name_H-M_alt 'P 1'
_space_group_IT_number 1
_space_group_name_Hall 'P 1'
loop_
_atom_site_label
_atom_site_type_symbol
_atom_site_fract_x
_atom_site_fract_y
_atom_site_fract_z
Cs1 Cs 0.963 0.379 0.357
Sc1 Sc 0.310 0.553 0.878
Se1 Se 0.519 0.158 0.692
S1 S 0.086 0.941 0.042
```